1.
The following is a DFT calculation (GGA-PBE) of a geometry-optimized Sm5Zn4In structure.

Properties
DFT formation energy ... -0.35 eV/atom
Calculated total energy ... -34.951 eV/f.u.

```
Sm5Zn4In
1.0
3.640 0.000 0.000
0.000 3.640 0.000
0.000 0.000 18.847
Sm Zn In
5 4 1
Direct
0.500 0.500 0.114
0.500 0.500 0.306
0.500 0.500 0.500
0.500 0.500 0.694
0.500 0.500 0.886
0.000 0.000 0.211
0.000 0.000 0.402
0.000 0.000 0.598
0.000 0.000 0.789
0.000 0.000 0.000
```

=====

2.
The following is a DFT calculation (GGA-PBE) of a geometry-optimized Sm3Zn2In3 structure.

Properties
DFT formation energy ... -0.44 eV/atom
Calculated total energy ... -28.401 eV/f.u.

```
Sm3Zn2In3
1.0
4.662 0.000 0.000
-2.331 5.585 0.000
0.000 0.000 15.549
Sm Zn In
6 4 6
Direct
0.913 0.826 0.389
0.087 0.174 0.889
0.913 0.826 0.111
0.087 0.174 0.611
0.643 0.286 0.250
0.357 0.714 0.750
0.792 0.584 0.895
0.208 0.416 0.395
0.792 0.584 0.605
0.208 0.416 0.105
0.621 0.241 0.461
0.379 0.759 0.961
0.621 0.241 0.039
0.379 0.759 0.539
0.352 0.704 0.250
0.648 0.296 0.750
```

=====

3.
The following is a DFT calculation (GGA-PBE) of a geometry-optimized Sm8ZnIn2 structure.

Properties
Energy above the most stable polymorph in this dataset ... 0 meV per atom
DFT formation energy ... -0.23 eV/atom
Calculated total energy ... -46.991 eV/f.u.

```
Sm8ZnIn2
1.0
-3.533 -0.914 -3.922
0.133 -6.660 1.432
-5.096 2.059 7.771
Sm Zn In
8 1 2
Direct
0.410 0.595 0.819
0.666 0.907 0.332
0.788 0.393 0.577
0.030 0.768 0.061
0.212 0.607 0.423
0.334 0.093 0.668
0.590 0.405 0.181
0.970 0.232 0.939
0.500 0.000 0.000
0.845 0.843 0.690
0.155 0.157 0.310
```

=====

4.
The following is a DFT calculation (GGA-PBE) of a geometry-optimized SmZnIn structure.

Properties
DFT formation energy ... -0.41 eV/atom
Calculated total energy ... -9.971 eV/f.u.

```
SmZnIn
1.0
4.749 0.000 0.000
2.374 4.113 0.000
2.374 1.371 3.877
Zn Sm In
1 1 1
Direct
0.250 0.250 0.250
0.500 0.500 0.500
0.000 0.000 0.000
```

=====

| no. | DOS(E_F) (states/eV/f.u.) |
| --- | --- |
| 1 | 11.9 |
| 2 | 5.4 |
| 3 | 12.2 |
| 4 | 1.5 |